Entry 1:
Entry from the Alexandria database: a relaxed structure of SiOsBr (PBE).

```
SiOsBr
1.0
3.171 0.000 0.000
0.000 5.436 0.000
0.000 0.000 12.314
Si Os Br
4 4 4
direct
0.000 0.000 0.000 Si
0.000 0.500 0.500 Si
0.500 0.000 0.500 Si
0.500 0.500 0.000 Si
0.000 0.000 0.635 Os
0.000 0.500 0.135 Os
0.500 0.000 0.135 Os
0.500 0.500 0.635 Os
0.000 0.000 0.318 Br
0.000 0.500 0.818 Br
0.500 0.000 0.818 Br
0.500 0.500 0.318 Br
```

## Properties
As for the volume: 17.69 Å³/atom. As for the energy above the most stable polymorph in this dataset: 440 meV per atom. The calculation puts the raw formation energy at 0.73 eV per atom. The calculation puts the total magnetization at 0.0 μB/f.u.

=====

Entry 2:
Entry from the Alexandria database: a relaxed structure of KTcS2Cl (PBE).

```
KTcS2Cl
1.0
5.312 0.000 0.000
0.000 5.312 0.000
0.000 0.000 5.399
K Tc S Cl
1 1 2 1
direct
0.000 0.000 0.000 K
0.500 0.500 0.500 Tc
0.000 0.500 0.000 S
0.500 0.000 0.000 S
0.000 0.000 0.500 Cl
```

## Properties
As for the volume: 30.47 Å³/atom. As for the energy above the most stable polymorph in this dataset: 1916 meV per atom. The calculation puts the raw formation energy at 1.29 eV per atom. The calculation puts the total magnetization at 4.4 μB/f.u.

=====

Q: Number 2 is which compound?
A: KTcS2Cl

=====

Q: Which of these has the highest raw formation energy?
A: KTcS2Cl